Entry 1:
{
  "formula": "YAlTl",
  "functional": "PBEsol",
  "state": "relaxed",
  "lattice_angstrom": [[-0.4778, 1.2201, 3.0860], [-1.7844, -2.6347, -1.0558], [5.2501, -4.6122, 2.6364]],
  "species": ["Y", "Tl", "Al"],
  "fractional_positions": [[0.6667, 0.3333, 0.3240], [0.3333, 0.6667, 0.6829], [0.0000, 0.0000, 0.9931]],
  "spacegroup": "P3m1",
  "polymorph_energy_mev_per_atom": 68
}

---

Entry 2:
{
  "formula": "Li3V2P3O12",
  "functional": "PBEsol",
  "state": "relaxed",
  "lattice_angstrom": [[8.4104, -0.0025, 0.0018], [3.9976, 7.5329, -0.0573], [-3.9976, -2.4998, 7.1062]],
  "species": ["P", "P", "P", "P", "P", "P", "V", "V", "V", "V", "O", "O", "O", "O", "O", "O", "O", "O", "O", "O", "O", "O", "O", "O", "O", "O", "O", "O", "O", "O", "O", "O", "O", "O", "Li", "Li", "Li", "Li", "Li", "Li"],
  "fractional_positions": [[0.2048, 0.5343, 0.2566], [0.7952, 0.2566, 0.5343], [0.5000, 0.9683, 0.9683], [0.0000, 0.0541, 0.0541], [0.7047, 0.7658, 0.4882], [0.2953, 0.4882, 0.7658], [0.1131, 0.8672, 0.6511], [0.8869, 0.6511, 0.8672], [0.6132, 0.3714, 0.1552], [0.3868, 0.1552, 0.3714], [0.1033, 0.5469, 0.7868], [0.9364, 0.8980, 0.0250], [0.1782, 0.7333, 0.4098], [0.6976, 0.7123, 0.6336], [0.0368, 0.5446, 0.0742], [0.1978, 0.3886, 0.3098], [0.9632, 0.0742, 0.5446], [0.8218, 0.4098, 0.7333], [0.6542, 0.7694, 0.9477], [0.0636, 0.0250, 0.8980], [0.1541, 0.0747, 0.2531], [0.8967, 0.7868, 0.5469], [0.6031, 0.2362, 0.4763], [0.3458, 0.9477, 0.7694], [0.4368, 0.9973, 0.1248], [0.8459, 0.2531, 0.0747], [0.6788, 0.6125, 0.2892], [0.5365, 0.9481, 0.4778], [0.3024, 0.6336, 0.7123], [0.4635, 0.4778, 0.9481], [0.8022, 0.3098, 0.3886], [0.3212, 0.2892, 0.6125], [0.5632, 0.1248, 0.9973], [0.3969, 0.4763, 0.2362], [0.0545, 0.9464, 0.3222], [0.5000, 0.6518, 0.6518], [0.9455, 0.3222, 0.9464], [0.0000, 0.3703, 0.3703], [0.4445, 0.0760, 0.6998], [0.5555, 0.6998, 0.0760]],
  "e_form_raw_ev_per_atom": -2.30,
  "spacegroup": "C2/c",
  "polymorph_energy_mev_per_atom": 12
}

---

Entry 3:
{
  "formula": "Sc2SbAs",
  "functional": "PBEsol",
  "state": "relaxed",
  "lattice_angstrom": [[3.8068, 0.0000, 0.0000], [0.0000, 4.1658, 0.0000], [-1.9034, 0.0000, 5.4267]],
  "species": ["As", "Sb", "Sc", "Sc"],
  "fractional_positions": [[0.5020, 0.0000, 0.0041], [0.7379, 0.5000, 0.4758], [0.0051, 0.5000, 0.0102], [0.2550, 0.0000, 0.5100]],
  "e_form_raw_ev_per_atom": -0.97,
  "spacegroup": "Amm2"
}

---

Entry 4:
{
  "formula": "ScCdAs2Cl",
  "functional": "PBEsol",
  "state": "relaxed",
  "lattice_angstrom": [[-1.1417, 3.1894, 3.0385], [-4.3067, -2.4396, 0.9426], [2.2896, -2.6391, 3.6305]],
  "species": ["Sc", "As", "As", "Cl", "Cd"],
  "fractional_positions": [[0.5000, 0.0000, 0.0000], [0.0000, 0.0000, 0.5000], [0.0000, 0.5000, 0.0000], [0.0000, 0.0000, 0.0000], [0.5000, 0.5000, 0.5000]],
  "e_form_raw_ev_per_atom": 0.30,
  "spacegroup": "P4/mmm"
}

---

Entry 5:
{
  "formula": "BeRu",
  "functional": "PBEsol",
  "state": "relaxed",
  "lattice_angstrom": [[4.1337, 0.0000, 0.0000], [-2.0668, 3.5799, 0.0000], [0.0000, 0.0000, 6.5439]],
  "species": ["Be", "Be", "Be", "Be", "Ru", "Ru", "Ru", "Ru"],
  "fractional_positions": [[0.6667, 0.3333, 0.9092], [0.3333, 0.6667, 0.4092], [0.3333, 0.6667, 0.0908], [0.6667, 0.3333, 0.5908], [0.0000, 0.0000, 0.7500], [0.0000, 0.0000, 0.2500], [0.6667, 0.3333, 0.2500], [0.3333, 0.6667, 0.7500]],
  "spacegroup": "P6_3/mmc",
  "final_energy_ev_per_atom": -6.76
}

---

Entry 6:
{
  "formula": "TlCo2Si",
  "functional": "PBEsol",
  "state": "relaxed",
  "lattice_angstrom": [[2.8094, 0.0000, 0.0000], [-1.4047, 3.3661, 0.0737], [0.0000, -1.3217, 6.2992]],
  "species": ["Co", "Co", "Si", "Tl"],
  "fractional_positions": [[0.9466, 0.8933, 0.9183], [0.3027, 0.6054, 0.5820], [0.6246, 0.2493, 0.7500], [0.6260, 0.2521, 0.2496]],
  "e_form_raw_ev_per_atom": 0.08,
  "spacegroup": "Cm",
  "polymorph_energy_mev_per_atom": 138
}

---

Entry 7:
{
  "formula": "PbCl2",
  "functional": "PBEsol",
  "state": "relaxed",
  "lattice_angstrom": [[3.5952, 0.0000, 0.0000], [0.0000, 3.5952, 0.0000], [-1.7976, -1.7976, 13.1806]],
  "species": ["Cl", "Cl", "Cl", "Cl", "Pb", "Pb"],
  "fractional_positions": [[0.8114, 0.3114, 0.6229], [0.4386, 0.4386, 0.8771], [0.6886, 0.1886, 0.3771], [0.5614, 0.5614, 0.1229], [0.2500, 0.7500, 0.5000], [0.0000, 0.0000, 0.0000]],
  "e_form_raw_ev_per_atom": -0.97,
  "spacegroup": "I4_1/amd"
}

---

Entry 8:
{
  "formula": "CdSiN2",
  "functional": "PBEsol",
  "state": "relaxed",
  "lattice_angstrom": [[-1.7047, -4.8914, 0.9069], [3.7217, -1.9253, -3.3884], [4.3225, -0.5665, 5.0696]],
  "species": ["Si", "Si", "Si", "Si", "N", "N", "N", "N", "N", "N", "N", "N", "Cd", "Cd", "Cd", "Cd"],
  "fractional_positions": [[0.9995, 0.0636, 0.1248], [0.4995, 0.9364, 0.8752], [0.4995, 0.4364, 0.6248], [0.9995, 0.5636, 0.3752], [0.4218, 0.6234, 0.8317], [0.9218, 0.3766, 0.1683], [0.9218, 0.8766, 0.3317], [0.4218, 0.1234, 0.6683], [0.3272, 0.5391, 0.4184], [0.3272, 0.0391, 0.0816], [0.8272, 0.9609, 0.9184], [0.8272, 0.4609, 0.5816], [0.9974, 0.5766, 0.8758], [0.4974, 0.9234, 0.3758], [0.4974, 0.4234, 0.1242], [0.9974, 0.0766, 0.6242]],
  "e_form_raw_ev_per_atom": -0.70,
  "spacegroup": "Pna2_1"
}

---

Entry 9:
{
  "formula": "NaSrZnB2",
  "functional": "PBEsol",
  "state": "relaxed",
  "lattice_angstrom": [[-0.0460, -0.5034, 4.1821], [4.0142, -1.2726, -0.1091], [1.4382, 4.4888, 0.5561]],
  "species": ["Sr", "Zn", "B", "B", "Na"],
  "fractional_positions": [[0.5000, 0.5000, 0.5000], [0.0000, 0.0000, 0.0000], [0.0000, 0.5000, 0.0000], [0.5000, 0.0000, 0.0000], [0.0000, 0.0000, 0.5000]],
  "spacegroup": "P4/mmm",
  "final_energy_ev_per_atom": -2.85
}

---

Entry 10:
{
  "formula": "BaLi2H2",
  "functional": "PBEsol",
  "state": "relaxed",
  "lattice_angstrom": [[-2.6669, 1.7582, -0.6106], [-1.1977, -3.8382, -5.8207], [-3.8675, -4.5483, 3.7950]],
  "species": ["H", "H", "H", "H", "Ba", "Ba", "Li", "Li", "Li", "Li"],
  "fractional_positions": [[0.0000, 0.3737, 0.8737], [0.0000, 0.8737, 0.6263], [0.0000, 0.6263, 0.1263], [0.0000, 0.1263, 0.3737], [0.0000, 0.0000, 0.0000], [0.0000, 0.5000, 0.5000], [0.5000, 0.1091, 0.6091], [0.5000, 0.6091, 0.8909], [0.5000, 0.8909, 0.3909], [0.5000, 0.3909, 0.1091]],
  "spacegroup": "P4/mbm",
  "final_energy_ev_per_atom": -2.40
}

---

Entry 11:
{
  "formula": "Ba7Al10",
  "functional": "PBEsol",
  "state": "relaxed",
  "lattice_angstrom": [[-5.7358, 0.5230, -1.6356], [-3.4462, -4.8770, -0.4328], [-7.3457, 0.1963, 14.8641]],
  "species": ["Al", "Al", "Al", "Al", "Al", "Al", "Al", "Al", "Al", "Al", "Ba", "Ba", "Ba", "Ba", "Ba", "Ba", "Ba"],
  "fractional_positions": [[0.2844, 0.2844, 0.1467], [0.7156, 0.7156, 0.8533], [0.2005, 0.2005, 0.3986], [0.7995, 0.7995, 0.6014], [0.5832, 0.1074, 0.7262], [0.1074, 0.5832, 0.7262], [0.5832, 0.5832, 0.7262], [0.4168, 0.8926, 0.2738], [0.4168, 0.4168, 0.2738], [0.8926, 0.4168, 0.2738], [0.1290, 0.1290, 0.6130], [0.8710, 0.8710, 0.3870], [0.0523, 0.0523, 0.8431], [0.9477, 0.9477, 0.1569], [0.5000, 0.5000, 0.5000], [0.3600, 0.3600, 0.9200], [0.6400, 0.6400, 0.0800]],
  "spacegroup": "R-3m",
  "final_energy_ev_per_atom": -3.53
}

---

Entry 12:
{
  "formula": "BaFeTe2",
  "functional": "PBEsol",
  "state": "relaxed",
  "lattice_angstrom": [[3.6941, 0.0000, 0.0000], [0.0000, 3.6941, 0.0000], [0.0000, 0.0000, 7.8873]],
  "species": ["Ba", "Fe", "Te", "Te"],
  "fractional_positions": [[0.5000, 0.5000, 0.0000], [0.5000, 0.5000, 0.5000], [0.0000, 0.0000, 0.7037], [0.0000, 0.0000, 0.2963]],
  "e_form_raw_ev_per_atom": -0.20,
  "spacegroup": "P4/mmm"
}

---

Number 1: density of states at the Fermi level 2.755 states/eV/f.u.. Number 2: density of states at the Fermi level 11.115 states/eV/f.u.. Number 3: density of states at the Fermi level 1.021 states/eV/f.u.. Number 4: density of states at the Fermi level 2.987 states/eV/f.u.. Number 5: density of states at the Fermi level 1.200 states/eV/f.u.. Number 6: density of states at the Fermi level 3.382 states/eV/f.u.. Number 7: density of states at the Fermi level 0.000 states/eV/f.u.. Number 8: density of states at the Fermi level 0.000 states/eV/f.u.. Number 9: density of states at the Fermi level 2.062 states/eV/f.u.. Number 10: density of states at the Fermi level 2.727 states/eV/f.u.. Number 11: density of states at the Fermi level 6.687 states/eV/f.u.. Number 12: density of states at the Fermi level 2.787 states/eV/f.u..